1.
{
  "formula": "Li2Er2ThSn2",
  "functional": "PBE",
  "state": "relaxed",
  "lattice_angstrom": [[4.807, 0.000, 0.000], [2.403, 4.163, 0.000], [2.403, 1.388, 8.821]],
  "species": ["Sn", "Li", "Sn", "Th", "Er", "Li", "Er"],
  "frac_coords": [[0.261, 0.261, 0.218], [0.411, 0.411, 0.766], [0.739, 0.739, 0.782], [0.000, 0.000, 0.000], [0.870, 0.870, 0.390], [0.589, 0.589, 0.234], [0.130, 0.130, 0.610]],
  "energy_ev_per_atom": -4.429,
  "sg": "R-3m (166)",
  "n_ef_per_ev_cell": 3.64,
  "delta_e_f_ev_per_fu": -2.621
}

2.
{
  "formula": "Sr2SbPb",
  "functional": "PBE",
  "state": "relaxed",
  "lattice_angstrom": [[5.803, 0.000, 0.000], [2.901, 5.025, 0.000], [2.901, 1.675, 4.738]],
  "species": ["Sr", "Pb", "Sb", "Sr"],
  "frac_coords": [[0.000, 0.000, 0.000], [0.500, 0.500, 0.500], [0.750, 0.750, 0.750], [0.250, 0.250, 0.250]],
  "formation_energy_uncorrected_mev_per_atom": -265,
  "energy_ev_per_atom": -3.063,
  "sg": "F-43m (216)",
  "n_ef_per_ev_cell": 3.30
}

3.
{
  "formula": "PaZnGa2",
  "functional": "PBE",
  "state": "relaxed",
  "lattice_angstrom": [[-2.500, -2.688, 2.077], [2.173, 0.808, 3.661], [-2.732, 3.240, 0.906]],
  "species": ["Pa", "Ga", "Zn", "Ga"],
  "frac_coords": [[0.500, 0.000, 0.000], [0.000, 0.000, 0.500], [0.500, 0.500, 0.500], [0.000, 0.500, 0.000]],
  "energy_ev_per_atom": -4.448,
  "sg": "P4/mmm (123)",
  "n_ef_per_ev_cell": 4.07,
  "delta_e_f_ev_per_fu": -0.967
}

4.
{
  "formula": "CePr3Er3Se8",
  "functional": "PBE",
  "state": "relaxed",
  "lattice_angstrom": [[-0.634, -7.661, -3.033], [3.441, 5.975, -4.555], [4.031, -2.966, 6.649]],
  "species": ["Pr", "Se", "Se", "Er", "Pr", "Se", "Ce", "Pr", "Se", "Se", "Se", "Er", "Er", "Se", "Se"],
  "frac_coords": [[0.500, 0.500, 0.000], [0.744, 0.487, 0.731], [0.731, 0.986, 0.742], [0.500, 0.500, 0.500], [0.000, 0.000, 0.000], [0.256, 0.513, 0.269], [0.000, 0.000, 0.500], [0.000, 0.500, 0.000], [0.744, 0.014, 0.258], [0.269, 0.014, 0.258], [0.744, 0.489, 0.258], [0.500, 0.000, 0.500], [0.000, 0.500, 0.500], [0.256, 0.511, 0.742], [0.256, 0.986, 0.742]],
  "formation_energy_uncorrected_mev_per_atom": -1820,
  "energy_ev_per_atom": -5.942,
  "sg": "R-3m (166)",
  "n_ef_per_ev_cell": 12.41
}